Record 1
First-principles (GGA-PBE) data for a relaxed structure of K3Y3UO8, as listed in the Alexandria database.

Cell lengths 6.9861, 6.9857, 7.5261 Å; angles 117.67, 90.00, 120.00 degrees
With the nearest neighbours (Å) after each atom.
Positions (direct):
O (0.2638, 0.0439, 0.3242)  1 U 2.25, 2 Y 2.33
K (0.5000, 0.5000, 0.0000)  6 O 2.86
Y (0.0000, 0.5000, 0.5000)  6 O 2.32-2.34
K (0.0000, 0.5000, 0.0000)  6 O 2.86
Y (0.5000, 0.0000, 0.5000)  6 O 2.32-2.33
O (0.7270, 0.4540, 0.6809)  3 Y 2.32
O (0.7802, 0.5604, 0.3243)  1 U 2.25, 2 Y 2.33
O (0.2198, 0.4396, 0.6757)  1 U 2.25, 2 Y 2.33
O (0.2730, 0.5460, 0.3191)  3 Y 2.32
O (0.2198, 0.9561, 0.6758)  1 U 2.25, 2 Y 2.33-2.34
K (0.0000, 0.0000, 0.0000)  6 O 2.86
O (0.7362, 0.9561, 0.6758)  1 U 2.25, 2 Y 2.33
Y (0.5000, 0.5000, 0.5000)  6 O 2.32-2.33
O (0.7802, 0.0439, 0.3242)  1 U 2.25, 2 Y 2.33-2.34
U (0.0000, 0.0000, 0.5000)  6 O 2.25

Results
- final energy (eV per cell) = -115.9
- space group = R-3m (166)
- magnetic moment (μB/cell) = 2.0
- density of states at the Fermi level (states/eV/cell) = 8.17
- ΔE_f (raw) (eV/atom) = -2.818
- ρ (g/cm³) = 4.64

***

Record 2
First-principles (GGA-PBE) data for a relaxed structure of MgHgPt, as listed in the Alexandria database.

Cell lengths 5.2917, 5.2917, 5.2917 Å; angles 146.98, 137.37, 54.96 degrees
With the nearest neighbours (Å) after each atom.
Positions (direct):
Pt (0.6834, 0.6834, 0.0000)  4 Mg 2.74, 5 Hg 2.98, 2 Pt 3.01
Hg (0.0008, 0.0008, 0.0000)  5 Mg 2.96-3.00, 5 Pt 2.98, 2 Hg 3.01
Mg (0.3159, 0.3159, 0.0000)  4 Pt 2.74, 5 Hg 2.96-3.00, 2 Mg 3.01

Results
- final energy (eV per cell) = -9.1
- space group = Imm2 (44)
- magnetic moment (μB/cell) = 0.0
- density of states at the Fermi level (states/eV/cell) = 0.89
- ρ (g/cm³) = 12.84

***

Record 3
First-principles (GGA-PBE) data for a relaxed structure of AcSiO3, as listed in the Alexandria database.

Cell lengths 6.9104, 4.7849, 11.9677 Å; angles 90.00, 90.01, 120.60 degrees
With the nearest neighbours (Å) after each atom.
Positions (direct):
Ac (0.2308, 0.7826, 0.6103)  4 O 2.55-2.69
Ac (0.2309, 0.2826, 0.8897)  4 O 2.55-2.69
O (0.6299, 0.9037, 0.5726)  1 Si 1.62
O (0.2596, 0.9465, 0.2052)  2 Si 1.66-1.67
O (0.0668, 0.1523, 0.6580)  1 Si 1.65
Si (0.7917, 0.9244, 0.6745)  4 O 1.62-1.67
Si (0.2083, 0.0756, 0.3255)  4 O 1.62-1.67
O (0.7404, 0.5534, 0.7052)  2 Si 1.66-1.67
O (0.9332, 0.8477, 0.3420)  1 Si 1.65
Si (0.2083, 0.5756, 0.1745)  4 O 1.62-1.67
Ac (0.7692, 0.2174, 0.3897)  4 O 2.55-2.69
O (0.7404, 0.0535, 0.7948)  2 Si 1.66-1.67
O (0.0669, 0.6523, 0.8420)  1 Si 1.65
O (0.9331, 0.3477, 0.1580)  1 Si 1.65
O (0.6299, 0.4037, 0.9274)  1 Si 1.62
O (0.3701, 0.5963, 0.0726)  1 Si 1.62
Si (0.7917, 0.4244, 0.8255)  4 O 1.62-1.67
Ac (0.7691, 0.7174, 0.1103)  4 O 2.55-2.69
O (0.3701, 0.0963, 0.4274)  1 Si 1.62
O (0.2596, 0.4466, 0.2948)  2 Si 1.66-1.67

Results
- final energy (eV per cell) = -152.9
- space group = P2_1/c (14)
- magnetic moment (μB/cell) = 0.0
- density of states at the Fermi level (states/eV/cell) = 1.10
- ΔE_f (raw) (eV/atom) = -2.762
- ρ (g/cm³) = 5.91

***

Record 4
First-principles (GGA-PBE) data for a relaxed structure of Rb2MgNbHg, as listed in the Alexandria database.

Cell lengths 6.9967, 5.5590, 6.9967 Å; angles 90.00, 90.00, 90.00 degrees
With the nearest neighbours (Å) after each atom.
Positions (direct):
Nb (0.0000, 0.0000, 0.0000)  2 Hg 2.78
Mg (0.5000, 0.5000, 0.5000)  8 Rb 4.47, 4 Hg 4.95
Hg (0.0000, 0.5000, 0.0000)  2 Nb 2.78
Rb (0.0000, 0.0000, 0.5000)  2 Nb 3.50
Rb (0.5000, 0.0000, 0.0000)  2 Nb 3.50

Results
- final energy (eV per cell) = -8.8
- space group = P4/mmm (123)
- magnetic moment (μB/cell) = 4.2
- density of states at the Fermi level (states/eV/cell) = 5.06
- ρ (g/cm³) = 2.98

***

Record 5
First-principles (GGA-PBE) data for a relaxed structure of Pm2Cu3Ag, as listed in the Alexandria database.

Cell lengths 3.9317, 3.9905, 8.5635 Å; angles 103.47, 103.27, 90.00 degrees
With the nearest neighbours (Å) after each atom.
Positions (direct):
Pm (0.8642, 0.3642, 0.7284)  6 Cu 3.04-3.25, 4 Ag 3.16
Cu (0.7055, 0.7055, 0.4111)  3 Cu 2.40-2.45
Cu (0.2909, 0.7909, 0.5818)  2 Cu 2.40, 1 Ag 2.65
Pm (0.1303, 0.1303, 0.2606)  10 Cu 3.05-3.28
Ag (0.4549, 0.9549, 0.9097)  3 Cu 2.56-2.65
Cu (0.5542, 0.5542, 0.1083)  1 Cu 2.45, 2 Ag 2.56

Results
- final energy (eV per cell) = -25.8
- space group = Imm2 (44)
- magnetic moment (μB/cell) = 0.0
- density of states at the Fermi level (states/eV/cell) = 3.13
- ρ (g/cm³) = 7.70

***

Record 6
First-principles (GGA-PBE) data for a relaxed structure of NaAlN, as listed in the Alexandria database.

Cell lengths 3.6442, 3.6442, 10.8027 Å; angles 90.00, 90.00, 90.00 degrees
With the nearest neighbours (Å) after each atom.
Positions (direct):
Na (0.5000, 0.0000, 0.1289)  8 Na 3.64-3.79
Al (0.0000, 0.0000, 0.5000)  4 N 1.90
Na (0.0000, 0.5000, 0.8711)  8 Na 3.64-3.79
N (0.5000, 0.0000, 0.5508)  4 Al 1.90
Al (0.5000, 0.5000, 0.5000)  4 N 1.90
N (0.0000, 0.5000, 0.4492)  4 Al 1.90

Results
- final energy (eV per cell) = -29.8
- space group = P4/nmm (129)
- magnetic moment (μB/cell) = 0.0
- density of states at the Fermi level (states/eV/cell) = 0.95
- ΔE_f (raw) (eV/atom) = -0.499
- ρ (g/cm³) = 1.48

***

Record 7
First-principles (GGA-PBE) data for a relaxed structure of Sm6AgHg2, as listed in the Alexandria database.

Cell lengths 5.2319, 6.9556, 8.2617 Å; angles 83.17, 71.54, 67.91 degrees
With the nearest neighbours (Å) after each atom.
Positions (direct):
Sm (0.0133, 0.8048, 0.1685)  1 Ag 3.26, 3 Hg 3.27, 4 Sm 3.63-3.65
Sm (0.6816, 0.8053, 0.8314)  1 Ag 3.26, 3 Hg 3.27, 4 Sm 3.63-3.64
Sm (0.6497, 0.2008, 0.4999)  2 Ag 3.25, 2 Hg 3.25
Hg (0.6671, 0.5003, 0.1655)  8 Sm 3.25-3.27
Sm (0.9867, 0.1952, 0.8315)  1 Ag 3.26, 3 Hg 3.27, 4 Sm 3.63-3.65
Hg (0.3329, 0.4997, 0.8345)  8 Sm 3.25-3.27
Sm (0.3184, 0.1947, 0.1686)  1 Ag 3.26, 3 Hg 3.27, 4 Sm 3.63-3.64
Ag (0.0000, 0.5000, 0.5000)  8 Sm 3.25-3.26
Sm (0.3503, 0.7992, 0.5001)  2 Ag 3.25, 2 Hg 3.25

Results
- final energy (eV per cell) = -34.1
- space group = Fmmm (69)
- magnetic moment (μB/cell) = 1.8
- density of states at the Fermi level (states/eV/cell) = 10.23
- ρ (g/cm³) = 8.87

***

Record 8
First-principles (GGA-PBE) data for a relaxed structure of MgTcRu2, as listed in the Alexandria database.

Cell lengths 9.1284, 9.1284, 9.1284 Å; angles 17.49, 17.49, 17.49 degrees
With the nearest neighbours (Å) after each atom.
Positions (direct):
Mg (0.7484, 0.7484, 0.7484)  6 Mg 2.78, 3 Ru 2.80, 3 Tc 2.91
Tc (0.5053, 0.5053, 0.5053)  3 Ru 2.64, 6 Tc 2.78, 3 Mg 2.91
Ru (0.9965, 0.9965, 0.9965)  9 Ru 2.69-2.78, 3 Mg 2.80
Ru (0.2498, 0.2498, 0.2498)  3 Tc 2.64, 9 Ru 2.69-2.78

Results
- final energy (eV per cell) = -29.9
- space group = R3m (160)
- magnetic moment (μB/cell) = 0.0
- density of states at the Fermi level (states/eV/cell) = 4.19
- ρ (g/cm³) = 8.99

***

Record 9
First-principles (GGA-PBE) data for a relaxed structure of Cs2KMgTl, as listed in the Alexandria database.

Cell lengths 7.6433, 7.6433, 5.7036 Å; angles 90.00, 90.00, 90.00 degrees
With the nearest neighbours (Å) after each atom.
Positions (direct):
K (0.5000, 0.5000, 0.5000)  8 Cs 4.77
Mg (0.0000, 0.0000, 0.5000)  2 Tl 2.85
Cs (0.5000, 0.0000, 0.0000)  2 Tl 3.82
Tl (0.0000, 0.0000, 0.0000)  2 Mg 2.85
Cs (0.0000, 0.5000, 0.0000)  2 Tl 3.82

Results
- final energy (eV per cell) = -6.1
- space group = P4/mmm (123)
- magnetic moment (μB/cell) = 0.0
- density of states at the Fermi level (states/eV/cell) = 4.76
- ρ (g/cm³) = 2.66

***

Record 10
First-principles (GGA-PBE) data for a relaxed structure of CdSi2Se, as listed in the Alexandria database.

Cell lengths 4.8076, 4.8076, 4.8076 Å; angles 60.00, 60.00, 60.00 degrees
With the nearest neighbours (Å) after each atom.
Positions (direct):
Si (0.7500, 0.7500, 0.7500)  4 Cd 2.94, 4 Se 2.94
Si (0.2500, 0.2500, 0.2500)  4 Cd 2.94, 4 Se 2.94
Se (0.0000, 0.0000, 0.0000)  8 Si 2.94
Cd (0.5000, 0.5000, 0.5000)  8 Si 2.94

Results
- final energy (eV per cell) = -12.8
- space group = Fm-3m (225)
- magnetic moment (μB/cell) = 0.0
- density of states at the Fermi level (states/eV/cell) = 2.96
- ΔE_f (raw) (eV/atom) = 0.615
- ρ (g/cm³) = 5.23